Entry 1:
Material: TaRuCl2
Method: DFT, GGA-PBEsol
State: relaxed

Values from the calculation:
energy above the lowest structure with this stoichiometry = 0.00 eV per formula unit
symmetry = No. 71
DOS at the Fermi energy = 3.4 states/eV/f.u.

Cell lengths 3.057, 4.181, 7.099 Å; angles 107.12, 102.43, 90.00 degrees
Each line ends with the local moment (μB).
Atoms (fractional coordinates):
1 Ru 0.000 0.500 0.000  0.07
2 Cl 0.848 0.848 0.697  0.00
3 Cl 0.152 0.152 0.303  0.00
4 Ta 0.500 0.000 0.000  -0.01

Entry 2:
Material: TaRu2Cl
Method: DFT, GGA-PBEsol
State: relaxed

Values from the calculation:
energy above the lowest structure with this stoichiometry = 1.02 eV per formula unit
symmetry = No. 47
DOS at the Fermi energy = 3.0 states/eV/f.u.

Cell lengths 2.874, 4.377, 4.600 Å; angles 90.00, 90.00, 90.00 degrees
Atoms (fractional coordinates):
1 Ru 0.000 0.000 0.000
2 Cl 0.000 0.500 0.500
3 Ru 0.500 0.000 0.500
4 Ta 0.500 0.500 0.000

Entry 3:
Material: TaRuCl2
Method: DFT, GGA-PBEsol
State: relaxed

Values from the calculation:
energy above the lowest structure with this stoichiometry = 1.30 eV per formula unit
symmetry = No. 12
DOS at the Fermi energy = 2.3 states/eV/f.u.

Cell lengths 3.323, 4.514, 5.083 Å; angles 116.14, 108.80, 90.59 degrees
Atoms (fractional coordinates):
1 Ru 0.000 0.000 0.000
2 Ta 0.500 0.500 0.000
3 Cl 0.500 0.500 0.500
4 Cl 0.000 0.000 0.500

Entry 4:
Material: TcRu3Cl
Method: DFT, GGA-PBEsol
State: relaxed

Values from the calculation:
symmetry = No. 221
DOS at the Fermi energy = 5.4 states/eV/f.u.

Cell lengths 4.626, 4.626, 4.626 Å; angles 90.00, 90.00, 90.00 degrees
Each line ends with the local moment (μB).
Atoms (fractional coordinates):
1 Cl 0.500 0.500 0.500  0.23
2 Tc 0.000 0.000 0.000  -0.16
3 Ru 0.500 0.000 0.000  1.22
4 Ru 0.000 0.000 0.500  1.22
5 Ru 0.000 0.500 0.000  1.22

Entry 5:
Material: TcRuCl
Method: DFT, GGA-PBEsol
State: relaxed

Values from the calculation:
energy above the lowest structure with this stoichiometry = 1.88 eV per formula unit
symmetry = No. 216
DOS at the Fermi energy = 3.4 states/eV/f.u.

Cell lengths 3.922, 3.922, 3.922 Å; angles 60.00, 60.00, 60.00 degrees
Atoms (fractional coordinates):
1 Tc 0.500 0.500 0.500
2 Cl 0.250 0.250 0.250
3 Ru 0.000 0.000 0.000

Entry 6:
Material: TcRuCl
Method: DFT, GGA-PBEsol
State: relaxed

Values from the calculation:
energy above the lowest structure with this stoichiometry = 0.00 eV per formula unit
symmetry = No. 156
DOS at the Fermi energy = 2.7 states/eV/f.u.

Cell lengths 2.898, 4.029, 4.029 Å; angles 120.00, 90.00, 90.00 degrees
Atoms (fractional coordinates):
1 Tc 0.233 0.333 0.667
2 Cl 0.048 0.000 0.000
3 Ru 0.719 0.667 0.333

Entry 7:
Material: TlTc2RuCl
Method: DFT, GGA-PBEsol
State: relaxed

Values from the calculation:
symmetry = No. 123
DOS at the Fermi energy = 3.9 states/eV/f.u.

Cell lengths 4.636, 4.636, 5.319 Å; angles 90.00, 90.00, 90.00 degrees
Each line ends with the local moment (μB).
Atoms (fractional coordinates):
1 Tc 0.500 0.000 0.000  1.81
2 Tl 0.000 0.000 0.500  0.01
3 Cl 0.500 0.500 0.500  0.13
4 Tc 0.000 0.500 0.000  1.81
5 Ru 0.000 0.000 0.000  -0.06

Entry 8:
Material: TeRuCl2
Method: DFT, GGA-PBEsol
State: relaxed

Values from the calculation:
energy above the lowest structure with this stoichiometry = 0.00 eV per formula unit
symmetry = No. 8

Cell lengths 3.845, 3.845, 7.709 Å; angles 89.81, 89.81, 59.96 degrees
Atoms (fractional coordinates):
1 Ru 0.541 0.541 0.480
2 Te 0.875 0.875 0.336
3 Cl 0.877 0.877 0.029
4 Cl 0.207 0.207 0.655

Entry 9:
Material: TeRuCl2
Method: DFT, GGA-PBEsol
State: relaxed

Values from the calculation:
energy above the lowest structure with this stoichiometry = 0.25 eV per formula unit
symmetry = No. 6

Cell lengths 3.691, 4.655, 5.681 Å; angles 107.34, 90.00, 90.00 degrees
Atoms (fractional coordinates):
1 Ru 0.000 0.505 0.967
2 Cl 0.000 0.033 0.065
3 Cl 0.500 0.626 0.301
4 Te 0.500 0.336 0.668

Entry 10:
Material: Te8RuCl2
Method: DFT, GGA-PBEsol
State: relaxed

Values from the calculation:
symmetry = No. 15
DOS at the Fermi energy = 0.7 states/eV/f.u.

Cell lengths 8.412, 8.412, 10.574 Å; angles 102.47, 102.47, 114.91 degrees
Atoms (fractional coordinates):
1 Te 0.256 0.295 0.973
2 Cl 0.500 0.000 0.500
3 Cl 0.588 0.412 0.250
4 Te 0.751 0.980 0.789
5 Te 0.785 0.098 0.356
6 Te 0.249 0.020 0.211
7 Ru 0.000 0.000 0.000
8 Te 0.498 0.791 0.131
9 Te 0.791 0.498 0.631
10 Cl 0.412 0.588 0.750
11 Te 0.502 0.209 0.869
12 Te 0.980 0.751 0.289
13 Te 0.209 0.502 0.369
14 Ru 0.000 0.000 0.500
15 Te 0.744 0.705 0.027
16 Te 0.902 0.215 0.144
17 Te 0.020 0.249 0.711
18 Te 0.705 0.744 0.527
19 Te 0.295 0.256 0.473
20 Te 0.098 0.785 0.856
21 Te 0.215 0.902 0.644
22 Cl 0.000 0.500 0.000

Entry 11:
Material: TlRu2Cl
Method: DFT, GGA-PBEsol
State: relaxed

Values from the calculation:
energy above the lowest structure with this stoichiometry = 0.69 eV per formula unit
symmetry = No. 216
DOS at the Fermi energy = 4.7 states/eV/f.u.

Cell lengths 4.543, 4.543, 4.543 Å; angles 60.00, 60.00, 60.00 degrees
Atoms (fractional coordinates):
1 Cl 0.500 0.500 0.500
2 Tl 0.750 0.750 0.750
3 Ru 0.250 0.250 0.250
4 Ru 0.000 0.000 0.000

Entry 12:
Material: TlRu2Cl
Method: DFT, GGA-PBEsol
State: relaxed

Values from the calculation:
energy above the lowest structure with this stoichiometry = 0.00 eV per formula unit
symmetry = No. 123
DOS at the Fermi energy = 3.5 states/eV/f.u.

Cell lengths 3.045, 3.045, 6.663 Å; angles 90.00, 90.00, 90.00 degrees
Atoms (fractional coordinates):
1 Ru 0.000 0.000 0.282
2 Ru 0.000 0.000 0.718
3 Tl 0.500 0.500 0.000
4 Cl 0.500 0.500 0.500

Entry 13:
Material: Ru2WCl
Method: DFT, GGA-PBEsol
State: relaxed

Values from the calculation:
energy above the lowest structure with this stoichiometry = 0.00 eV per formula unit
symmetry = No. 99
DOS at the Fermi energy = 4.3 states/eV/f.u.

Cell lengths 2.764, 2.764, 7.721 Å; angles 90.00, 90.00, 90.00 degrees
Atoms (fractional coordinates):
1 Ru 0.500 0.500 0.255
2 W 0.000 0.000 0.502
3 Cl 0.500 0.500 0.716
4 Ru 0.000 0.000 0.027

Entry 14:
Material: RuW2Cl
Method: DFT, GGA-PBEsol
State: relaxed

Values from the calculation:
energy above the lowest structure with this stoichiometry = 0.00 eV per formula unit
symmetry = No. 99
DOS at the Fermi energy = 1.8 states/eV/f.u.

Cell lengths 2.849, 2.849, 7.349 Å; angles 90.00, 90.00, 90.00 degrees
Atoms (fractional coordinates):
1 W 0.500 0.500 0.263
2 Cl 0.000 0.000 0.490
3 W 0.000 0.000 0.987
4 Ru 0.500 0.500 0.760

Entry 15:
Material: RuW2Cl
Method: DFT, GGA-PBEsol
State: relaxed

Values from the calculation:
energy above the lowest structure with this stoichiometry = 3.15 eV per formula unit
symmetry = No. 119
DOS at the Fermi energy = 4.3 states/eV/f.u.

Cell lengths 3.773, 3.773, 4.974 Å; angles 112.29, 112.29, 90.00 degrees
Atoms (fractional coordinates):
1 W 0.000 0.000 0.000
2 Ru 0.250 0.750 0.500
3 W 0.750 0.250 0.500
4 Cl 0.500 0.500 0.000

Total energy for every record listed, in sequence, given in eV/atom: -6.7397 -8.3105 -6.4148 -6.8141 -6.6167 -7.2426 -6.0617 -4.7173 -4.6552 -4.0557 -5.2517 -5.4236 -8.5340 -9.5679 -8.7792.
Formation energy (no corrections) for every record listed, in sequence, given in meV/atom: -55 415 270 1944 1199 573 1407 -289 -227 -201 994 822 506 381 1170.